1.
# LiReP2

A geometry-optimized LiReP2 structure (PBE-GGA, the Alexandria database).

extended XYZ file:
```
8
Lattice="-2.874 2.874 5.227 2.874 -2.874 5.227 2.874 2.874 -5.227" Properties=species:S:1:pos:R:3 pbc="T T T"
Li 0.000 0.000 0.000
Li 0.000 2.874 2.613
Re 2.874 0.000 2.613
Re 0.000 0.000 5.227
P 1.437 -1.170 3.920
P 1.704 1.437 1.307
P 1.437 4.044 -1.307
P 1.170 1.437 6.533
```

Properties
- Energy above the most stable polymorph in this dataset: 0.327 eV/atom
- Calculated total energy: -6.29 eV per atom
- Formation energy from the elements: 0.03 eV per formula unit
- SG: No. 122
- N(E_F): 1.40 states/eV/f.u.

=====

2.
# SmTm2Tl4

A geometry-optimized SmTm2Tl4 structure (PBE-GGA, the Alexandria database).

extended XYZ file:
```
7
Lattice="-3.789 3.789 3.644 3.789 -3.789 3.644 3.789 3.789 -3.644" Properties=species:S:1:pos:R:3 pbc="T T T"
Sm 0.000 0.000 0.000
Tm 3.789 0.000 0.000
Tm 0.000 3.789 0.000
Tl 1.895 1.895 -1.822
Tl 1.895 -1.895 1.822
Tl -1.895 1.895 1.822
Tl 1.895 1.895 1.822
```

Properties
- Energy above the most stable polymorph in this dataset: 0.000 eV/atom
- Calculated total energy: -3.51 eV per atom
- Formation energy from the elements: -1.43 eV per formula unit
- SG: No. 139
- N(E_F): 6.59 states/eV/f.u.

=====

3.
# NdDy4Y2Sc

A geometry-optimized NdDy4Y2Sc structure (PBE-GGA, the Alexandria database).

extended XYZ file:
```
16
Lattice="-3.379 5.836 6.549 3.379 -5.836 6.549 3.379 5.836 -6.549" Properties=species:S:1:pos:R:3 pbc="T T T"
Nd 0.000 0.000 0.000
Nd 0.000 5.836 0.000
Dy 1.680 2.918 0.151
Dy 1.699 -2.918 6.700
Dy 0.000 0.164 3.263
Dy 3.379 0.164 3.287
Dy 0.000 5.672 3.263
Dy 3.379 5.672 3.287
Dy 1.680 8.754 -0.151
Dy 1.699 2.918 6.399
Y 1.689 2.918 -3.275
Y 1.689 -2.918 3.275
Y 3.379 0.000 0.000
Y 0.000 0.000 6.549
Sc -1.689 2.918 3.275
Sc 1.689 2.918 3.275
```

Properties
- Calculated total energy: -4.87 eV per atom
- Formation energy from the elements: 3.47 eV per formula unit
- SG: No. 74
- N(E_F): 17.81 states/eV/f.u.

=====

4.
# MnFeHIrPd

A geometry-optimized MnFeHIrPd structure (PBE-GGA, the Alexandria database).

extended XYZ file:
```
5
Lattice="4.711 -1.386 0.000 4.711 1.386 0.000 -4.553 0.000 4.711" Properties=species:S:1:pos:R:3 pbc="T T T"
Mn 0.000 0.000 0.000
Fe 1.952 0.000 3.250
H 0.851 0.000 1.712
Ir -0.610 0.000 2.667
Pd 2.564 0.000 0.714
```

Properties
- Energy above the most stable polymorph in this dataset: 0.121 eV/atom
- Calculated total energy: -6.92 eV per atom
- SG: No. 8
- N(E_F): 4.08 states/eV/f.u.

=====

5.
# DyZnGa

A geometry-optimized DyZnGa structure (PBE-GGA, the Alexandria database).

extended XYZ file:
```
6
Lattice="4.410 0.000 0.000 -2.205 3.820 0.000 0.000 0.000 7.217" Properties=species:S:1:pos:R:3 pbc="T T T"
Dy 0.000 0.000 0.000
Dy 0.000 0.000 3.608
Zn 0.000 2.546 1.804
Zn 2.205 1.273 5.412
Ga 0.000 2.546 5.412
Ga 2.205 1.273 1.804
```

Properties
- Calculated total energy: -3.53 eV per atom
- Formation energy from the elements: -1.70 eV per formula unit
- SG: No. 194
- N(E_F): 1.37 states/eV/f.u.

=====

6.
# CaCdCoSn2

A geometry-optimized CaCdCoSn2 structure (PBE-GGA, the Alexandria database).

extended XYZ file:
```
5
Lattice="4.926 0.000 0.000 0.000 4.926 0.000 0.000 0.000 5.033" Properties=species:S:1:pos:R:3 pbc="T T T"
Ca 0.000 0.000 0.000
Cd 2.463 2.463 0.000
Co 2.463 2.463 2.516
Sn 0.000 2.463 2.516
Sn 2.463 0.000 2.516
```

Properties
- Energy above the most stable polymorph in this dataset: 0.000 eV/atom
- Calculated total energy: -3.74 eV per atom
- Formation energy from the elements: -0.69 eV per formula unit
- SG: No. 123
- N(E_F): 3.44 states/eV/f.u.